The following is a DFT calculation (GGA-PBE) of NpScTcPt after structural relaxation.

Cell lengths 4.725, 4.725, 4.725 Å; angles 60.00, 60.00, 60.00 degrees
Element x y z (fractional)
Np 0.000 0.000 0.000
Sc 0.500 0.500 0.500
Tc 0.750 0.750 0.750
Pt 0.250 0.250 0.250

Computed properties:
E_tot	-9.323	eV/atom
energy relative to the elements	-0.403	eV/atom
mass density	12.800	g/cm³

---

The following is a DFT calculation (GGA-PBE) of NpPt4Se8 after structural relaxation.

Cell lengths 7.324, 7.324, 7.324 Å; angles 64.01, 64.01, 64.01 degrees
Element x y z (fractional)
Np 0.000 0.000 0.000
Pt 0.000 0.000 0.500
Pt 0.000 0.500 0.000
Pt 0.500 0.000 0.000
Pt 0.500 0.500 0.500
Se 0.239 0.239 0.239
Se 0.247 0.740 0.740
Se 0.260 0.260 0.753
Se 0.260 0.753 0.260
Se 0.740 0.247 0.740
Se 0.740 0.740 0.247
Se 0.753 0.260 0.260
Se 0.761 0.761 0.761

Computed properties:
E_tot	-5.388	eV/atom
formation energy (no corrections)	-0.390	eV/atom
mass density	9.058	g/cm³